Record 1
# ReIr GGA-PBEsol optimized geometry
# * ΔH_f (0 K): -201 meV per atom
# * polymorph energy (0 for the lowest one): 91 meV per atom
data_ReIr
_chemical_formula_sum 'Re4 Ir4'
_symmetry_space_group_name_H-M 'C 1 2/m 1'
_symmetry_Int_Tables_number 12
_symmetry_space_group_name_Hall '-C 2y'
_cell_length_a 9.9150
_cell_length_b 2.7282
_cell_length_c 4.7673
_cell_angle_alpha 90.00
_cell_angle_beta 118.19
_cell_angle_gamma 90.00
loop_
_atom_site_label
_atom_site_fract_x
_atom_site_fract_y
_atom_site_fract_z
Re1 0.1256 0.0000 0.2905
Ir1 0.1218 0.5000 0.7921

***

Record 2
# ReIr2 GGA-PBEsol optimized geometry
# * ΔH_f (0 K): -159 meV per atom
# * polymorph energy (0 for the lowest one): 78 meV per atom
data_ReIr2
_chemical_formula_sum 'Re4 Ir8'
_symmetry_space_group_name_H-M 'C 1 2/m 1'
_symmetry_Int_Tables_number 12
_symmetry_space_group_name_Hall '-C 2y'
_cell_length_a 9.9176
_cell_length_b 2.7344
_cell_length_c 6.4599
_cell_angle_alpha 90.00
_cell_angle_beta 104.01
_cell_angle_gamma 90.00
loop_
_atom_site_label
_atom_site_fract_x
_atom_site_fract_y
_atom_site_fract_z
Re1 0.1946 0.0000 0.1393
Ir1 0.0283 0.5000 0.8102
Ir2 0.1414 0.0000 0.5334

***

Record 3
# ReIr GGA-PBEsol optimized geometry
# * ΔH_f (0 K): 620 meV per atom
# * polymorph energy (0 for the lowest one): 913 meV per atom
data_ReIr
_chemical_formula_sum 'Re1 Ir1'
_symmetry_space_group_name_H-M 'P m -3 m'
_symmetry_Int_Tables_number 221
_symmetry_space_group_name_Hall '-P 4 2 3'
_cell_length_a 3.0861
_cell_length_b 3.0861
_cell_length_c 3.0861
_cell_angle_alpha 90.00
_cell_angle_beta 90.00
_cell_angle_gamma 90.00
loop_
_atom_site_label
_atom_site_fract_x
_atom_site_fract_y
_atom_site_fract_z
Re1 0.0000 0.0000 0.0000
Ir1 0.5000 0.5000 0.5000

***

Record 4
# ReIr2 GGA-PBEsol optimized geometry
# * ΔH_f (0 K): -209 meV per atom
# * polymorph energy (0 for the lowest one): 28 meV per atom
data_ReIr2
_chemical_formula_sum 'Re4 Ir8'
_symmetry_space_group_name_H-M 'P n m a'
_symmetry_Int_Tables_number 62
_symmetry_space_group_name_Hall '-P 2ac 2n'
_cell_length_a 4.7334
_cell_length_b 4.3584
_cell_length_c 8.2366
_cell_angle_alpha 90.00
_cell_angle_beta 90.00
_cell_angle_gamma 90.00
loop_
_atom_site_label
_atom_site_fract_x
_atom_site_fract_y
_atom_site_fract_z
Re1 0.1718 0.2500 0.1657
Ir1 0.1620 0.2500 0.8337
Ir2 0.1693 0.2500 0.4975

***

Record 5
# ReIr GGA-PBEsol optimized geometry
# * ΔH_f (0 K): -221 meV per atom
# * polymorph energy (0 for the lowest one): 72 meV per atom
data_ReIr
_chemical_formula_sum 'Re6 Ir6'
_symmetry_space_group_name_H-M 'C 1 m 1'
_symmetry_Int_Tables_number 8
_symmetry_space_group_name_Hall 'C -2y'
_cell_length_a 9.9394
_cell_length_b 2.7275
_cell_length_c 6.4778
_cell_angle_alpha 90.00
_cell_angle_beta 103.91
_cell_angle_gamma 90.00
loop_
_atom_site_label
_atom_site_fract_x
_atom_site_fract_y
_atom_site_fract_z
Re1 0.0000 0.0000 0.0000
Re2 0.0589 0.0000 0.6129
Re3 0.3869 0.0000 0.2799
Ir1 0.1642 0.5000 0.3326
Ir2 0.2214 0.5000 0.9466
Ir3 0.3396 0.0000 0.6700

***

Record 6
# ReIr7 GGA-PBEsol optimized geometry
# * ΔH_f (0 K): -55 meV per atom
data_ReIr7
_chemical_formula_sum 'Re4 Ir28'
_symmetry_space_group_name_H-M 'F m -3 m'
_symmetry_Int_Tables_number 225
_symmetry_space_group_name_Hall '-F 4 2 3'
_cell_length_a 7.6659
_cell_length_b 7.6659
_cell_length_c 7.6659
_cell_angle_alpha 90.00
_cell_angle_beta 90.00
_cell_angle_gamma 90.00
loop_
_atom_site_label
_atom_site_fract_x
_atom_site_fract_y
_atom_site_fract_z
Re1 0.0000 0.0000 0.0000
Ir1 0.0000 0.0000 0.5000
Ir2 0.0000 0.2500 0.2500

***

Record 7
# ReIr2 GGA-PBEsol optimized geometry
# * ΔH_f (0 K): -148 meV per atom
# * polymorph energy (0 for the lowest one): 90 meV per atom
data_ReIr2
_chemical_formula_sum 'Re4 Ir8'
_symmetry_space_group_name_H-M 'C 1 m 1'
_symmetry_Int_Tables_number 8
_symmetry_space_group_name_Hall 'C -2y'
_cell_length_a 9.9676
_cell_length_b 2.7318
_cell_length_c 6.4439
_cell_angle_alpha 90.00
_cell_angle_beta 104.10
_cell_angle_gamma 90.00
loop_
_atom_site_label
_atom_site_fract_x
_atom_site_fract_y
_atom_site_fract_z
Re1 0.0000 0.0000 0.0000
Re2 0.1691 0.5000 0.3334
Ir1 0.1107 0.5000 0.7244
Ir2 0.2768 0.0000 0.0557
Ir3 0.3345 0.0000 0.6632
Ir4 0.4493 0.5000 0.3859

***

Record 8
# ReIr2 GGA-PBEsol optimized geometry
# * ΔH_f (0 K): -166 meV per atom
# * polymorph energy (0 for the lowest one): 71 meV per atom
data_ReIr2
_chemical_formula_sum 'Re2 Ir4'
_symmetry_space_group_name_H-M 'I 4/m m m'
_symmetry_Int_Tables_number 139
_symmetry_space_group_name_Hall '-I 4 2'
_cell_length_a 2.7233
_cell_length_b 2.7233
_cell_length_c 11.5195
_cell_angle_alpha 90.00
_cell_angle_beta 90.00
_cell_angle_gamma 90.00
loop_
_atom_site_label
_atom_site_fract_x
_atom_site_fract_y
_atom_site_fract_z
Re1 0.0000 0.0000 0.0000
Ir1 0.0000 0.0000 0.3378

***

ΔH_f (0 K) of number 3 (ReIr)?
620 meV per atom

***

Copy entry 2 word for word.
# ReIr2 GGA-PBEsol optimized geometry
# * ΔH_f (0 K): -159 meV per atom
# * polymorph energy (0 for the lowest one): 78 meV per atom
data_ReIr2
_chemical_formula_sum 'Re4 Ir8'
_symmetry_space_group_name_H-M 'C 1 2/m 1'
_symmetry_Int_Tables_number 12
_symmetry_space_group_name_Hall '-C 2y'
_cell_length_a 9.9176
_cell_length_b 2.7344
_cell_length_c 6.4599
_cell_angle_alpha 90.00
_cell_angle_beta 104.01
_cell_angle_gamma 90.00
loop_
_atom_site_label
_atom_site_fract_x
_atom_site_fract_y
_atom_site_fract_z
Re1 0.1946 0.0000 0.1393
Ir1 0.0283 0.5000 0.8102
Ir2 0.1414 0.0000 0.5334

***

Which of these has the highest ΔH_f (0 K)?
number 3

***

Among the records above, which one has the highest ΔH_f (0 K)?
number 3